Entry 1:
# TlAgHg3 (PBE, optimized geometry)
# - E_tot (eV/cell) = -11.77
# - energy relative to the elements (meV per atom) = 48
# - offset from the most stable computed form (meV/atom) = 0
data_TlAgHg3
_chemical_formula_sum 'Tl2 Ag2 Hg6'
_cell_length_a 7.810
_cell_length_b 3.883
_cell_length_c 9.164
_cell_angle_alpha 90.00
_cell_angle_beta 111.74
_cell_angle_gamma 90.00
_symmetry_space_group_name_H-M 'P 1 21/m 1'
_symmetry_Int_Tables_number 11
loop_
_symmetry_equiv_pos_as_xyz
'x,y,z'
'-x,-y,-z'
'-x,y+1/2,-z'
'x,-y+1/2,z'
loop_
_atom_site_label
_atom_site_type_symbol
_atom_site_fract_x
_atom_site_fract_y
_atom_site_fract_z
Tl1 Tl 0.165 0.250 0.156
Ag1 Ag 0.485 0.250 0.749
Hg1 Hg 0.080 0.250 0.649
Hg2 Hg 0.312 0.750 0.914
Hg3 Hg 0.333 0.750 0.487

Entry 2:
# PrHoSe3 (PBE, optimized geometry)
# - E_tot (eV/cell) = -117.02
# - offset from the most stable computed form (meV/atom) = 0
data_PrHoSe3
_chemical_formula_sum 'Pr4 Ho4 Se12'
_cell_length_a 7.765
_cell_length_b 4.166
_cell_length_c 16.138
_cell_angle_alpha 90.00
_cell_angle_beta 90.00
_cell_angle_gamma 90.00
_symmetry_space_group_name_H-M 'P n m a'
_symmetry_Int_Tables_number 62
loop_
_symmetry_equiv_pos_as_xyz
'x,y,z'
'-x,-y,-z'
'-x+1/2,-y,z+1/2'
'x+1/2,y,-z+1/2'
'x+1/2,-y+1/2,-z+1/2'
'-x+1/2,y+1/2,z+1/2'
'-x,y+1/2,-z'
'x,-y+1/2,z'
loop_
_atom_site_label
_atom_site_type_symbol
_atom_site_fract_x
_atom_site_fract_y
_atom_site_fract_z
Pr1 Pr 0.141 0.250 0.200
Ho1 Ho 0.229 0.750 0.457
Se1 Se 0.010 0.250 0.395
Se2 Se 0.123 0.750 0.061
Se3 Se 0.151 0.250 0.785

Entry 3:
# Rb3AsOs (PBE, optimized geometry)
# - E_tot (eV/cell) = -12.52
# - energy relative to the elements (meV per atom) = 1252
# - offset from the most stable computed form (meV/atom) = 0
data_Rb3AsOs
_chemical_formula_sum 'Rb3 As1 Os1'
_cell_length_a 6.606
_cell_length_b 6.606
_cell_length_c 6.606
_cell_angle_alpha 90.00
_cell_angle_beta 90.00
_cell_angle_gamma 90.00
_symmetry_space_group_name_H-M 'P m -3 m'
_symmetry_Int_Tables_number 221
_symmetry_space_group_name_Hall '-P 4 2 3'
loop_
_atom_site_label
_atom_site_type_symbol
_atom_site_fract_x
_atom_site_fract_y
_atom_site_fract_z
Rb1 Rb 0.000 0.000 0.500
As1 As 0.000 0.000 0.000
Os1 Os 0.500 0.500 0.500